Arrangement A

A relaxed ScMoF2 crystal. Source: Alexandria, functional PBE+U.

The structure in CIF format:
```
data_ScMoF2
_cell_length_a 5.379
_cell_length_b 5.379
_cell_length_c 11.943
_cell_angle_alpha 90.00
_cell_angle_beta 90.00
_cell_angle_gamma 90.00
_space_group_name_H-M_alt 'I -4 2 d'
_space_group_IT_number 122
_space_group_name_Hall 'I -4 2bw'
loop_
_atom_site_label
_atom_site_type_symbol
_atom_site_fract_x
_atom_site_fract_y
_atom_site_fract_z
_atom_site_occupancy
Sc1 Sc 0.000 0.000 0.000 1
Mo1 Mo 0.000 0.000 0.500 1
F1 F 0.014 0.250 0.125 1
```

Properties
D(E_F) (states/eV/f.u.): 1.66
V (Å³/atom): 21.60
M_tot (μB per cell): 19.91

=====

Arrangement B

A relaxed ScMoF2 crystal. Source: Alexandria, functional PBE+U.

The structure in CIF format:
```
data_ScMoF2
_cell_length_a 3.5071
_cell_length_b 3.5071
_cell_length_c 22.7691
_cell_angle_alpha 90.00
_cell_angle_beta 90.00
_cell_angle_gamma 120.00
_space_group_name_H-M_alt 'R -3 m'
_space_group_IT_number 166
_space_group_name_Hall '-R 3 2"'
loop_
_atom_site_label
_atom_site_type_symbol
_atom_site_fract_x
_atom_site_fract_y
_atom_site_fract_z
_atom_site_occupancy
Sc1 Sc 0.0000 0.0000 0.0000 1
Mo1 Mo 0.0000 0.0000 0.5000 1
F1 F 0.0000 0.0000 0.0871 1
```

Properties
D(E_F) (states/eV/f.u.): 1.08
V (Å³/atom): 20.21
M_tot (μB per cell): 15.44

=====

Arrangement C

A relaxed ScMoF2 crystal. Source: Alexandria, functional PBE+U.

The structure in CIF format:
```
data_ScMoF2
_cell_length_a 6.280
_cell_length_b 6.280
_cell_length_c 6.280
_cell_angle_alpha 90.00
_cell_angle_beta 90.00
_cell_angle_gamma 90.00
_space_group_name_H-M_alt 'F m -3 m'
_space_group_IT_number 225
_space_group_name_Hall '-F 4 2 3'
loop_
_atom_site_label
_atom_site_type_symbol
_atom_site_fract_x
_atom_site_fract_y
_atom_site_fract_z
_atom_site_occupancy
Sc1 Sc 0.000 0.000 0.000 1
Mo1 Mo 0.000 0.000 0.500 1
F1 F 0.250 0.250 0.250 1
```

Properties
D(E_F) (states/eV/f.u.): 4.11
V (Å³/atom): 15.48
M_tot (μB per cell): 16.68

=====

Comparing the structures above, arrangement A comes out on top by 21.9 kJ/mol of atoms.